This record from Alexandria describes an optimized crystal structure of K2ReMo. The functional is PBE.

Calculated values
Energy above the most stable polymorph in this dataset ... 663 meV/atom
Calculated formation energy ... 1514 meV/atom

Cell lengths 6.5866, 6.5866, 6.5866 Å; angles 146.52, 146.52, 48.07 degrees
With the nearest neighbours (Å) after each atom.
Positions (direct):
1 K 0.2500 0.7500 0.5000  4 K 2.68
2 K 0.7500 0.2500 0.5000  4 K 2.68
3 Re 0.0000 0.0000 0.0000  4 Mo 2.68
4 Mo 0.5000 0.5000 0.0000  4 Re 2.68

This record from Alexandria describes an optimized crystal structure of La2HgSb4Rh3. The functional is PBE.

Calculated values
Raw formation energy ... -68.3 kJ per mole of atoms

Cell lengths 4.6531, 4.6531, 10.7596 Å; angles 90.00, 90.00, 90.00 degrees
With the nearest neighbours (Å) after each atom.
Positions (direct):
1 La 0.0000 0.5000 0.2429  8 Sb 3.50, 7 Rh 3.56-3.86, 2 Hg 3.61
2 La 0.5000 0.0000 0.7571  8 Sb 3.50, 7 Rh 3.56-3.86, 2 Hg 3.61
3 Hg 0.0000 0.0000 0.5000  4 Sb 2.80
4 Sb 0.0000 0.0000 0.0000  4 Rh 2.64
5 Sb 0.0000 0.5000 0.6451  3 Rh 2.58-2.80, 2 Hg 2.80
6 Sb 0.5000 0.0000 0.3549  3 Rh 2.58-2.80, 2 Hg 2.80
7 Sb 0.5000 0.5000 0.0000  4 Rh 2.64
8 Rh 0.0000 0.5000 0.8845  5 Sb 2.58-2.64
9 Rh 0.5000 0.0000 0.1155  5 Sb 2.58-2.64
10 Rh 0.5000 0.5000 0.5000  4 Sb 2.80

This record from Alexandria describes an optimized crystal structure of Mn2CrRu. The functional is PBE.

Calculated values
Calculated formation energy ... 128 meV/atom

Cell lengths 3.0040, 4.0388, 4.0688 Å; angles 90.00, 90.00, 90.00 degrees
With the nearest neighbours (Å) after each atom.
Positions (direct):
1 Mn 0.0000 0.0000 0.0000  4 Ru 2.52, 4 Mn 2.53
2 Mn 0.5000 0.0000 0.5000  4 Cr 2.52, 4 Mn 2.53
3 Cr 0.0000 0.5000 0.5000  4 Mn 2.52, 4 Ru 2.53
4 Ru 0.5000 0.5000 0.0000  4 Mn 2.52, 4 Cr 2.53

| no. | size of the total moment (Bohr magnetons per cell) | DOS at the Fermi energy (states/eV per cell) | total DFT energy (no corrections) (eV/atom) |
| --- | --- | --- | --- |
| 1 | 0.00 | 5.45 | -4.8543 |
| 2 | 0.00 | 5.58 | -5.5782 |
| 3 | 3.39 | 2.96 | -9.1818 |